(1)
Rb3Bi3Pb8 PBE relaxed; DOS at the Fermi energy = 0.38 states/eV per atom; total DFT energy (no corrections) = -3.255 eV/atom; space group = Immm; crystal system = orthorhombic; formation enthalpy at 0 K = -1.36 eV/f.u.
1.0
5.312 0.000 0.000
2.656 9.979 -0.408
2.656 2.324 9.713
Pb Bi Rb
8 3 3
Direct
0.864 0.773 0.499
0.341 0.940 0.377
0.136 0.227 0.501
0.659 0.060 0.623
0.864 0.499 0.773
0.341 0.377 0.940
0.136 0.501 0.227
0.659 0.623 0.060
0.000 0.824 0.176
0.500 0.000 0.000
0.000 0.176 0.824
0.796 0.204 0.204
0.204 0.796 0.796
0.500 0.500 0.500

***

(2)
KNaFe3 PBE relaxed; DOS at the Fermi energy = 1.33 states/eV per atom; total DFT energy (no corrections) = -3.734 eV/atom; space group = Pm-3m; crystal system = cubic; formation enthalpy at 0 K = 9.14 eV/f.u.; offset from the most stable computed form = 0 meV/atom
1.0
4.981 0.000 0.000
0.000 4.981 0.000
0.000 0.000 4.981
K Na Fe
1 1 3
Direct
0.500 0.500 0.500
0.000 0.000 0.000
0.000 0.500 0.000
0.000 0.000 0.500
0.500 0.000 0.000

***

(3)
Fe4Ir2Rh3 PBE relaxed; DOS at the Fermi energy = 1.57 states/eV per atom; total DFT energy (no corrections) = -8.022 eV/atom; space group = Pnnm; crystal system = orthorhombic; formation enthalpy at 0 K = 1.43 eV/f.u.
1.0
4.281 0.000 0.000
0.000 5.109 0.000
0.000 0.000 11.446
Rh Fe Ir
6 8 4
Direct
0.000 0.634 0.176
0.000 0.000 0.000
0.500 0.500 0.500
0.500 0.866 0.676
0.500 0.134 0.324
0.000 0.366 0.824
0.000 0.637 0.606
0.500 0.357 0.705
0.000 0.857 0.795
0.500 0.863 0.106
0.000 0.143 0.205
0.500 0.643 0.295
0.000 0.363 0.394
0.500 0.137 0.894
0.000 0.853 0.403
0.000 0.147 0.597
0.500 0.647 0.903
0.500 0.353 0.097

***

(4)
LiAsIr PBE relaxed; DOS at the Fermi energy = 0.54 states/eV per atom; total DFT energy (no corrections) = -5.480 eV/atom; space group = P-6m2; crystal system = hexagonal; formation enthalpy at 0 K = -1.01 eV/f.u.
1.0
4.199 0.000 0.000
-2.100 3.637 0.000
0.000 0.000 2.968
Li Ir As
1 1 1
Direct
0.667 0.333 0.666
0.333 0.667 0.167
0.000 0.000 0.167

***

(5)
CrNiP2 PBE relaxed; DOS at the Fermi energy = 0.73 states/eV per atom; total DFT energy (no corrections) = -6.608 eV/atom; space group = I-4m2; crystal system = tetragonal; formation enthalpy at 0 K = -0.21 eV/f.u.
1.0
-2.683 -3.893 -1.167
1.759 -4.511 0.524
-0.399 4.125 2.557
P Cr Ni
2 1 1
Direct
0.000 0.000 0.000
0.250 0.750 0.500
0.500 0.500 0.000
0.750 0.250 0.500

***

(6)
Fe2Ir5Rh2 PBE relaxed; DOS at the Fermi energy = 1.10 states/eV per atom; total DFT energy (no corrections) = -8.301 eV/atom; space group = C2/m; crystal system = monoclinic; formation enthalpy at 0 K = 1.22 eV/f.u.
1.0
-2.718 -1.530 -2.063
5.638 -7.843 1.777
-5.357 6.159 2.490
Ir Rh Fe
5 2 2
Direct
0.112 0.223 0.520
0.404 0.808 0.008
0.000 0.000 0.000
0.596 0.192 0.992
0.888 0.777 0.480
0.816 0.631 0.038
0.184 0.369 0.962
0.302 0.603 0.500
0.698 0.397 0.500

***

(7)
ReMoSe2 PBE relaxed; DOS at the Fermi energy = 0.75 states/eV per atom; total DFT energy (no corrections) = -7.175 eV/atom; space group = P4/mmm; crystal system = tetragonal; offset from the most stable computed form = 464 meV/atom
1.0
-1.346 1.533 -2.376
-0.276 -2.690 -1.580
-5.624 -0.938 2.580
Se Mo Re
2 1 1
Direct
0.000 0.000 0.498
0.000 0.000 0.002
0.500 0.500 0.250
0.500 0.500 0.750

***

(8)
CaTb2PrHg4 PBE relaxed; DOS at the Fermi energy = 0.86 states/eV per atom; total DFT energy (no corrections) = -2.653 eV/atom; space group = R-3m; crystal system = trigonal; formation enthalpy at 0 K = -3.97 eV/f.u.
1.0
5.327 0.000 0.000
2.663 4.613 0.000
2.663 1.538 8.781
Pr Hg Tb Ca
1 4 2 1
Direct
0.000 0.000 0.000
0.377 0.377 0.870
0.125 0.125 0.624
0.623 0.623 0.130
0.875 0.875 0.376
0.753 0.753 0.742
0.247 0.247 0.258
0.500 0.500 0.500